No. 1
A relaxed structure of NaErMg14, computed with PBE.

The structure in POSCAR format:
```
NaErMg14
1.0
6.6029 -0.0141 0.0000
0.0140 6.6029 0.0000
0.0000 0.0000 8.8730
Na Mg Er
1 14 1
Direct
0.3750 0.3750 0.5000
0.8750 0.3750 0.0000
0.8750 0.3750 0.5000
0.8750 0.8750 0.0000
0.1237 0.6263 0.7593
0.6262 0.6262 0.2406
0.3750 0.8750 0.0000
0.6263 0.1237 0.2407
0.3750 0.3750 0.0000
0.6262 0.6262 0.7594
0.1238 0.1238 0.2406
0.1237 0.6263 0.2407
0.3750 0.8750 0.5000
0.6263 0.1237 0.7593
0.1238 0.1238 0.7594
0.8750 0.8750 0.5000
```

DFT formation energy = 0.013 eV/atom

---

No. 2
A relaxed structure of NpAl2FeH8, computed with PBE.

The structure in POSCAR format:
```
NpAl2FeH8
1.0
-0.1536 -4.0701 0.1872
3.5753 -0.0361 2.1447
0.0577 0.2945 6.4452
H Al Fe Np
8 2 1 1
Direct
0.9998 0.3464 0.7083
0.7669 0.8082 0.8973
0.5000 0.2117 0.5293
0.0002 0.6536 0.2917
0.2331 0.1918 0.1027
0.7669 0.1916 0.1028
0.2331 0.8084 0.8972
0.5000 0.7883 0.4707
0.5000 0.6934 0.2240
0.5000 0.3066 0.7760
0.0000 0.0000 0.0000
0.0000 0.0000 0.5000
```

uncorrected energy = -4.6823 eV per atom

---

Number 1 is which compound? NaErMg14